The following is a DFT calculation (PBE-GGA) of a relaxed VCrPt crystal.

Calculated values
* E_form: -0.229 eV per atom
* DOS(E_F): 0.984 states/eV per atom
* density: 12.10 Mg/m³
* magnetization: 0.0 Bohr magnetons per cell
* calculated volume: 164 Å³/cell

Lattice parameters (Å, degrees): 5.2750 3.9544 8.5505 90.00 113.46 90.00
With the nearest neighbours (Å) after each atom.
Sites, in units of the cell vectors:
V (0.0000, 0.0000, 0.5000)  2 Cr 2.38, 4 Pt 2.62, 2 V 2.64
Cr (0.1394, 0.0000, 0.8012)  1 V 2.38, 2 Cr 2.41, 1 Pt 2.63
V (0.5000, 0.5000, 0.0000)  2 V 2.64, 6 Pt 2.69-2.76, 4 Cr 2.80
Cr (0.8606, 0.5000, 0.6988)  1 V 2.38, 2 Cr 2.41, 1 Pt 2.63
V (0.5000, 0.0000, 0.5000)  2 V 2.64, 6 Pt 2.69-2.76, 4 Cr 2.80
Cr (0.1394, 0.5000, 0.3012)  1 V 2.38, 2 Cr 2.41, 1 Pt 2.63
Pt (0.3354, 0.0000, 0.1506)  5 V 2.62-2.76, 5 Cr 2.63-2.77, 2 Pt 2.73
Pt (0.6646, 0.5000, 0.3494)  5 V 2.62-2.76, 5 Cr 2.63-2.77, 2 Pt 2.73
Pt (0.3354, 0.5000, 0.6506)  5 V 2.62-2.76, 5 Cr 2.63-2.77, 2 Pt 2.73
Pt (0.6646, 0.0000, 0.8494)  5 V 2.62-2.76, 5 Cr 2.63-2.77, 2 Pt 2.73
Cr (0.8606, 0.0000, 0.1988)  1 V 2.38, 2 Cr 2.41, 1 Pt 2.63
V (0.0000, 0.5000, 0.0000)  2 Cr 2.38, 4 Pt 2.62, 2 V 2.64

The following is a DFT calculation (PBE-GGA) of a relaxed USiNi3 crystal.

Calculated values
* DOS(E_F): 1.433 states/eV per atom
* density: 10.20 Mg/m³
* magnetization: 3.6 Bohr magnetons per cell
* raw formation energy: -0.29 eV per atom
* calculated volume: 144 Å³/cell

Lattice parameters (Å, degrees): 4.8975 6.0441 6.0441 67.12 66.10 66.10
With the nearest neighbours (Å) after each atom.
Sites, in units of the cell vectors:
Ni (0.5000, 0.0000, 0.5000)  2 Si 2.26, 6 Ni 2.45-2.51
U (0.5000, 0.5000, 0.5000)  10 Ni 2.79-3.02, 4 Si 2.98
Ni (0.1869, 0.7459, 0.8802)  2 Si 2.30-2.51, 3 Ni 2.44-2.51
Ni (0.0000, 0.0000, 0.5000)  2 Si 2.26, 6 Ni 2.45-2.51
Ni (0.1869, 0.3802, 0.2459)  2 Si 2.30-2.51, 3 Ni 2.44-2.51
Ni (0.8131, 0.2541, 0.1198)  2 Si 2.30-2.51, 3 Ni 2.44-2.51
Si (0.9657, 0.7843, 0.2843)  6 Ni 2.26-2.51
U (0.5000, 0.0000, 0.0000)  10 Ni 2.79-3.02, 4 Si 2.98
Si (0.0343, 0.2157, 0.7157)  6 Ni 2.26-2.51
Ni (0.8131, 0.6198, 0.7541)  2 Si 2.30-2.51, 3 Ni 2.44-2.51

The following is a DFT calculation (PBE-GGA) of a relaxed CeNdZrSc crystal.

Calculated values
* E_form: 0.189 eV per atom
* DOS(E_F): 1.870 states/eV per atom
* density: 6.36 Mg/m³
* magnetization: 0.3 Bohr magnetons per cell
* calculated volume: 110 Å³/cell

Lattice parameters (Å, degrees): 5.3737 5.3737 5.3737 60.00 60.00 60.00
With the nearest neighbours (Å) after each atom.
Sites, in units of the cell vectors:
Ce (0.2500, 0.2500, 0.2500)  4 Zr 3.29, 4 Sc 3.29
Nd (0.7500, 0.7500, 0.7500)  4 Zr 3.29, 4 Sc 3.29
Sc (0.0000, 0.0000, 0.0000)  4 Ce 3.29, 4 Nd 3.29
Zr (0.5000, 0.5000, 0.5000)  4 Ce 3.29, 4 Nd 3.29